# KNi2O4 | the Alexandria database | PBE+U | relaxed
data_KNi2O4
_chemical_formula_sum 'K4 Ni8 O16'
_cell_length_a 6.236
_cell_length_b 6.236
_cell_length_c 9.188
_cell_angle_alpha 90.00
_cell_angle_beta 90.00
_cell_angle_gamma 90.00
_symmetry_space_group_name_H-M 'I 41/a m d'
_symmetry_Int_Tables_number 141
loop_
_symmetry_equiv_pos_as_xyz
'x,y,z'
'-x,-y,-z'
'-y+1/4,x+3/4,z+1/4'
'y+1/4,-x+3/4,-z+1/4'
'-x+1/2,-y,z+1/2'
'x+1/2,y,-z+1/2'
'y+1/4,-x+1/4,z+3/4'
'-y+1/4,x+1/4,-z+3/4'
'x,-y,-z'
'-x,y,z'
'-y+1/4,-x+1/4,-z+3/4'
'y+1/4,x+1/4,z+3/4'
'-x+1/2,y,-z+1/2'
'x+1/2,-y,z+1/2'
'y+1/4,x+3/4,-z+1/4'
'-y+1/4,-x+3/4,z+1/4'
'x+1/2,y+1/2,z+1/2'
'-x+1/2,-y+1/2,-z+1/2'
'-y+3/4,x+1/4,z+3/4'
'y+3/4,-x+1/4,-z+3/4'
'-x,-y+1/2,z'
'x,y+1/2,-z'
'y+3/4,-x+3/4,z+1/4'
'-y+3/4,x+3/4,-z+1/4'
'x+1/2,-y+1/2,-z+1/2'
'-x+1/2,y+1/2,z+1/2'
'-y+3/4,-x+3/4,-z+1/4'
'y+3/4,x+3/4,z+1/4'
'-x,y+1/2,-z'
'x,-y+1/2,z'
'y+3/4,x+1/4,-z+3/4'
'-y+3/4,-x+1/4,z+3/4'
loop_
_atom_site_label
_atom_site_type_symbol
_atom_site_fract_x
_atom_site_fract_y
_atom_site_fract_z
K1 K 0.000 0.250 0.375
Ni1 Ni 0.000 0.000 0.000
O1 O 0.000 0.058 0.775
# Calculated density: 4.10 Mg/m³
# V: 12.76 A^3/atom

# K3Ni2O4 | the Alexandria database | PBE+U | relaxed
data_K3Ni2O4
_chemical_formula_sum 'K12 Ni8 O16'
_cell_length_a 14.412
_cell_length_b 8.477
_cell_length_c 5.623
_cell_angle_alpha 90.00
_cell_angle_beta 104.75
_cell_angle_gamma 90.00
_symmetry_space_group_name_H-M 'C 1 2/c 1'
_symmetry_Int_Tables_number 15
loop_
_symmetry_equiv_pos_as_xyz
'x,y,z'
'-x,-y,-z'
'-x,y,-z+1/2'
'x,-y,z+1/2'
'x+1/2,y+1/2,z'
'-x+1/2,-y+1/2,-z'
'-x+1/2,y+1/2,-z+1/2'
'x+1/2,-y+1/2,z+1/2'
loop_
_atom_site_label
_atom_site_type_symbol
_atom_site_fract_x
_atom_site_fract_y
_atom_site_fract_z
K1 K 0.000 0.135 0.250
K2 K 0.142 0.350 0.922
Ni1 Ni 0.208 0.111 0.443
O1 O 0.159 0.326 0.454
O2 O 0.162 0.061 0.090
# Energy relative to the lowest polymorph listed for this composition: 0.0826 eV/atom
# Calculated density: 2.99 Mg/m³
# V: 18.45 A^3/atom

# K3Ni2O4 | the Alexandria database | PBE+U | relaxed
data_K3Ni2O4
_chemical_formula_sum 'K12 Ni8 O16'
_cell_length_a 6.118
_cell_length_b 9.128
_cell_length_c 10.685
_cell_angle_alpha 90.00
_cell_angle_beta 90.00
_cell_angle_gamma 90.00
_symmetry_space_group_name_H-M 'C m c m'
_symmetry_Int_Tables_number 63
_symmetry_space_group_name_Hall '-C 2c 2'
loop_
_atom_site_label
_atom_site_type_symbol
_atom_site_fract_x
_atom_site_fract_y
_atom_site_fract_z
K1 K 0.000 0.149 0.073
K2 K 0.000 0.204 0.750
Ni1 Ni 0.000 0.433 0.250
Ni2 Ni 0.000 0.500 0.000
O1 O 0.202 0.432 0.115
# Energy relative to the lowest polymorph listed for this composition: 0.0000 eV/atom
# Calculated density: 3.32 Mg/m³
# V: 16.57 A^3/atom

# KNi3O | the Alexandria database | PBE+U | relaxed
data_KNi3O
_chemical_formula_sum 'K1 Ni3 O1'
_cell_length_a 4.289
_cell_length_b 4.289
_cell_length_c 4.289
_cell_angle_alpha 90.00
_cell_angle_beta 90.00
_cell_angle_gamma 90.00
_symmetry_space_group_name_H-M 'P m -3 m'
_symmetry_Int_Tables_number 221
_symmetry_space_group_name_Hall '-P 4 2 3'
loop_
_atom_site_label
_atom_site_type_symbol
_atom_site_fract_x
_atom_site_fract_y
_atom_site_fract_z
K1 K 0.000 0.000 0.000
Ni1 Ni 0.000 0.500 0.500
O1 O 0.500 0.500 0.500
# Energy relative to the lowest polymorph listed for this composition: 0.0000 eV/atom
# Calculated density: 4.86 Mg/m³
# V: 15.78 A^3/atom

# KNi3O | the Alexandria database | PBE+U | relaxed
data_KNi3O
_chemical_formula_sum 'K1 Ni3 O1'
_cell_length_a 4.872
_cell_length_b 4.872
_cell_length_c 4.872
_cell_angle_alpha 90.00
_cell_angle_beta 90.00
_cell_angle_gamma 90.00
_symmetry_space_group_name_H-M 'P m -3 m'
_symmetry_Int_Tables_number 221
_symmetry_space_group_name_Hall '-P 4 2 3'
loop_
_atom_site_label
_atom_site_type_symbol
_atom_site_fract_x
_atom_site_fract_y
_atom_site_fract_z
K1 K 0.000 0.000 0.000
Ni1 Ni 0.000 0.000 0.500
O1 O 0.500 0.500 0.500
# Energy relative to the lowest polymorph listed for this composition: 1.7460 eV/atom
# Calculated density: 3.32 Mg/m³
# V: 23.12 A^3/atom

# KNiO3 | the Alexandria database | PBE+U | relaxed
data_KNiO3
_chemical_formula_sum 'K1 Ni1 O3'
_cell_length_a 3.855
_cell_length_b 3.855
_cell_length_c 3.855
_cell_angle_alpha 90.00
_cell_angle_beta 90.00
_cell_angle_gamma 90.00
_symmetry_space_group_name_H-M 'P m -3 m'
_symmetry_Int_Tables_number 221
_symmetry_space_group_name_Hall '-P 4 2 3'
loop_
_atom_site_label
_atom_site_type_symbol
_atom_site_fract_x
_atom_site_fract_y
_atom_site_fract_z
K1 K 0.000 0.000 0.000
Ni1 Ni 0.500 0.500 0.500
O1 O 0.000 0.500 0.500
# Calculated density: 4.23 Mg/m³
# V: 11.45 A^3/atom

no.,DFT total energy (eV/atom)
1,-4.374
2,-4.170
3,-4.253
4,-2.297
5,-0.551
6,-4.103